(1)
# CeErPa GGA-PBE relaxed
data_CeErPa
_cell_length_a 3.9046
_cell_length_b 3.9046
_cell_length_c 24.0664
_cell_angle_alpha 90.00
_cell_angle_beta 90.00
_cell_angle_gamma 90.00
_space_group_name_H-M_alt 'I 4/m m m'
_space_group_IT_number 139
_space_group_name_Hall '-I 4 2'
loop_
_atom_site_label
_atom_site_fract_x
_atom_site_fract_y
_atom_site_fract_z
_atom_site_occupancy
Ce1 0.0000 0.0000 0.1581 1
Er1 0.0000 0.0000 0.4272 1
Pa1 0.0000 0.0000 0.2853 1
# E_form in meV per atom: 324.4
# Total moment in μB/cell: 0.0
# Crystal system: tetragonal

=====

(2)
# CeEr2Pa GGA-PBE relaxed
data_CeEr2Pa
_cell_length_a 5.4766
_cell_length_b 5.4766
_cell_length_c 13.5418
_cell_angle_alpha 90.00
_cell_angle_beta 90.00
_cell_angle_gamma 120.00
_space_group_name_H-M_alt 'R -3 m'
_space_group_IT_number 166
_space_group_name_Hall '-R 3 2"'
loop_
_atom_site_label
_atom_site_fract_x
_atom_site_fract_y
_atom_site_fract_z
_atom_site_occupancy
Ce1 0.0000 0.0000 0.0000 1
Er1 0.0000 0.0000 0.2590 1
Pa1 0.0000 0.0000 0.5000 1
# E_form in meV per atom: 377.5
# Total moment in μB/cell: 4.2
# Crystal system: trigonal

=====

(3)
# CeErPa2 GGA-PBE relaxed
data_CeErPa2
_cell_length_a 3.8991
_cell_length_b 3.8991
_cell_length_c 25.8049
_cell_angle_alpha 90.00
_cell_angle_beta 90.00
_cell_angle_gamma 120.00
_space_group_name_H-M_alt 'R 3 m'
_space_group_IT_number 160
_space_group_name_Hall 'R 3 -2"'
loop_
_atom_site_label
_atom_site_fract_x
_atom_site_fract_y
_atom_site_fract_z
_atom_site_occupancy
Ce1 0.0000 0.0000 0.0000 1
Er1 0.0000 0.0000 0.8347 1
Pa1 0.0000 0.0000 0.3970 1
Pa2 0.0000 0.0000 0.6047 1
# E_form in meV per atom: 597.7
# Total moment in μB/cell: 0.0
# Crystal system: trigonal

=====

(4)
# CeErPa2 GGA-PBE relaxed
data_CeErPa2
_cell_length_a 4.6290
_cell_length_b 4.6290
_cell_length_c 4.9097
_cell_angle_alpha 90.00
_cell_angle_beta 90.00
_cell_angle_gamma 90.00
_space_group_name_H-M_alt 'P 4/m m m'
_space_group_IT_number 123
_space_group_name_Hall '-P 4 2'
loop_
_atom_site_label
_atom_site_fract_x
_atom_site_fract_y
_atom_site_fract_z
_atom_site_occupancy
Ce1 0.0000 0.0000 0.0000 1
Er1 0.5000 0.5000 0.0000 1
Pa1 0.0000 0.5000 0.5000 1
# E_form in meV per atom: 181.1
# Total moment in μB/cell: 0.0
# Crystal system: tetragonal

=====

(5)
# CeErPa GGA-PBE relaxed
data_CeErPa
_cell_length_a 5.3371
_cell_length_b 5.3371
_cell_length_c 3.3287
_cell_angle_alpha 90.00
_cell_angle_beta 90.00
_cell_angle_gamma 120.00
_space_group_name_H-M_alt 'P -6 m 2'
_space_group_IT_number 187
_space_group_name_Hall 'P -6 2'
loop_
_atom_site_label
_atom_site_fract_x
_atom_site_fract_y
_atom_site_fract_z
_atom_site_occupancy
Ce1 0.0000 0.0000 0.0000 1
Er1 0.6667 0.3333 0.5000 1
Pa1 0.3333 0.6667 0.0000 1
# E_form in meV per atom: 200.2
# Total moment in μB/cell: 0.0
# Crystal system: hexagonal

=====

(6)
# Ce6ErPa2 GGA-PBE relaxed
data_Ce6ErPa2
_cell_length_a 5.3933
_cell_length_b 5.3933
_cell_length_c 10.8420
_cell_angle_alpha 90.00
_cell_angle_beta 90.00
_cell_angle_gamma 120.00
_space_group_name_H-M_alt 'P -3 1 m'
_space_group_IT_number 162
_space_group_name_Hall '-P 3 2'
loop_
_atom_site_label
_atom_site_fract_x
_atom_site_fract_y
_atom_site_fract_z
_atom_site_occupancy
Ce1 0.0000 0.3339 0.2648 1
Er1 0.0000 0.0000 0.0000 1
Pa1 0.3333 0.6667 0.5000 1
# E_form in meV per atom: 538.7
# Total moment in μB/cell: 0.0
# Crystal system: trigonal

=====

(7)
# CeErPa2 GGA-PBE relaxed
data_CeErPa2
_cell_length_a 3.1879
_cell_length_b 3.1879
_cell_length_c 10.2288
_cell_angle_alpha 90.00
_cell_angle_beta 90.00
_cell_angle_gamma 90.00
_space_group_name_H-M_alt 'P 4/m m m'
_space_group_IT_number 123
_space_group_name_Hall '-P 4 2'
loop_
_atom_site_label
_atom_site_fract_x
_atom_site_fract_y
_atom_site_fract_z
_atom_site_occupancy
Ce1 0.0000 0.0000 0.0000 1
Er1 0.0000 0.0000 0.5000 1
Pa1 0.5000 0.5000 0.2428 1
# E_form in meV per atom: 143.9
# Total moment in μB/cell: 0.0
# Crystal system: tetragonal

=====

(8)
# CeEr2Pa GGA-PBE relaxed
data_CeEr2Pa
_cell_length_a 3.3380
_cell_length_b 3.3380
_cell_length_c 10.2863
_cell_angle_alpha 90.00
_cell_angle_beta 90.00
_cell_angle_gamma 90.00
_space_group_name_H-M_alt 'P 4/m m m'
_space_group_IT_number 123
_space_group_name_Hall '-P 4 2'
loop_
_atom_site_label
_atom_site_fract_x
_atom_site_fract_y
_atom_site_fract_z
_atom_site_occupancy
Ce1 0.0000 0.0000 0.0000 1
Er1 0.5000 0.5000 0.2652 1
Pa1 0.0000 0.0000 0.5000 1
# E_form in meV per atom: 162.2
# Total moment in μB/cell: 0.9
# Crystal system: tetragonal

=====

(9)
# CeEr2Pa GGA-PBE relaxed
data_CeEr2Pa
_cell_length_a 4.7100
_cell_length_b 4.7100
_cell_length_c 5.0680
_cell_angle_alpha 90.00
_cell_angle_beta 90.00
_cell_angle_gamma 90.00
_space_group_name_H-M_alt 'P 4/m m m'
_space_group_IT_number 123
_space_group_name_Hall '-P 4 2'
loop_
_atom_site_label
_atom_site_fract_x
_atom_site_fract_y
_atom_site_fract_z
_atom_site_occupancy
Ce1 0.0000 0.0000 0.0000 1
Er1 0.0000 0.5000 0.5000 1
Pa1 0.5000 0.5000 0.0000 1
# E_form in meV per atom: 208.3
# Total moment in μB/cell: 0.7
# Crystal system: tetragonal

=====

(10)
# CeErPa2 GGA-PBE relaxed
data_CeErPa2
_cell_length_a 5.1489
_cell_length_b 5.1489
_cell_length_c 14.4667
_cell_angle_alpha 90.00
_cell_angle_beta 90.00
_cell_angle_gamma 120.00
_space_group_name_H-M_alt 'R -3 m'
_space_group_IT_number 166
_space_group_name_Hall '-R 3 2"'
loop_
_atom_site_label
_atom_site_fract_x
_atom_site_fract_y
_atom_site_fract_z
_atom_site_occupancy
Ce1 0.0000 0.0000 0.0000 1
Er1 0.0000 0.0000 0.5000 1
Pa1 0.0000 0.0000 0.2878 1
# E_form in meV per atom: 379.7
# Total moment in μB/cell: 0.0
# Crystal system: trigonal

=====

(11)
# CeErPa4 GGA-PBE relaxed
data_CeErPa4
_cell_length_a 8.6256
_cell_length_b 8.6256
_cell_length_c 8.6256
_cell_angle_alpha 90.00
_cell_angle_beta 90.00
_cell_angle_gamma 90.00
_space_group_name_H-M_alt 'F -4 3 m'
_space_group_IT_number 216
_space_group_name_Hall 'F -4 2 3'
loop_
_atom_site_label
_atom_site_fract_x
_atom_site_fract_y
_atom_site_fract_z
_atom_site_occupancy
Ce1 0.0000 0.0000 0.0000 1
Er1 0.2500 0.2500 0.7500 1
Pa1 0.1245 0.1245 0.3755 1
# E_form in meV per atom: 202.3
# Total moment in μB/cell: 0.0
# Crystal system: cubic

=====

(12)
# CeErPa GGA-PBE relaxed
data_CeErPa
_cell_length_a 3.2733
_cell_length_b 3.2733
_cell_length_c 15.3470
_cell_angle_alpha 90.00
_cell_angle_beta 90.00
_cell_angle_gamma 90.00
_space_group_name_H-M_alt 'I 4 m m'
_space_group_IT_number 107
_space_group_name_Hall 'I 4 -2'
loop_
_atom_site_label
_atom_site_fract_x
_atom_site_fract_y
_atom_site_fract_z
_atom_site_occupancy
Ce1 0.0000 0.0000 0.0000 1
Er1 0.0000 0.0000 0.3151 1
Pa1 0.0000 0.0000 0.6546 1
# E_form in meV per atom: 115.9
# Total moment in μB/cell: 0.0
# Crystal system: tetragonal

=====

(13)
# CeErPaPb GGA-PBE relaxed
data_CeErPaPb
_cell_length_a 7.5925
_cell_length_b 7.5925
_cell_length_c 7.5925
_cell_angle_alpha 90.00
_cell_angle_beta 90.00
_cell_angle_gamma 90.00
_space_group_name_H-M_alt 'F -4 3 m'
_space_group_IT_number 216
_space_group_name_Hall 'F -4 2 3'
loop_
_atom_site_label
_atom_site_fract_x
_atom_site_fract_y
_atom_site_fract_z
_atom_site_occupancy
Ce1 0.0000 0.0000 0.0000 1
Er1 0.2500 0.2500 0.2500 1
Pa1 0.2500 0.2500 0.7500 1
Pb1 0.0000 0.0000 0.5000 1
# E_form in meV per atom: 159.5
# Total moment in μB/cell: 10.6
# Crystal system: cubic

=====

(14)
# CePrErPa GGA-PBE relaxed
data_CePrErPa
_cell_length_a 7.8624
_cell_length_b 7.8624
_cell_length_c 7.8624
_cell_angle_alpha 90.00
_cell_angle_beta 90.00
_cell_angle_gamma 90.00
_space_group_name_H-M_alt 'F -4 3 m'
_space_group_IT_number 216
_space_group_name_Hall 'F -4 2 3'
loop_
_atom_site_label
_atom_site_fract_x
_atom_site_fract_y
_atom_site_fract_z
_atom_site_occupancy
Ce1 0.0000 0.0000 0.0000 1
Pr1 0.0000 0.0000 0.5000 1
Er1 0.2500 0.2500 0.2500 1
Pa1 0.2500 0.2500 0.7500 1
# E_form in meV per atom: 399.3
# Total moment in μB/cell: 14.8
# Crystal system: cubic

=====

(15)
# CeErPuPa GGA-PBE relaxed
data_CeErPuPa
_cell_length_a 7.5734
_cell_length_b 7.5734
_cell_length_c 7.5734
_cell_angle_alpha 90.00
_cell_angle_beta 90.00
_cell_angle_gamma 90.00
_space_group_name_H-M_alt 'F -4 3 m'
_space_group_IT_number 216
_space_group_name_Hall 'F -4 2 3'
loop_
_atom_site_label
_atom_site_fract_x
_atom_site_fract_y
_atom_site_fract_z
_atom_site_occupancy
Ce1 0.0000 0.0000 0.0000 1
Er1 0.2500 0.2500 0.2500 1
Pu1 0.0000 0.0000 0.5000 1
Pa1 0.2500 0.2500 0.7500 1
# E_form in meV per atom: 296.1
# Total moment in μB/cell: 35.4
# Crystal system: cubic

=====

(16)
# Ce2ErPaS5 GGA-PBE relaxed
data_Ce2ErPaS5
_cell_length_a 4.8357
_cell_length_b 4.8357
_cell_length_c 10.3742
_cell_angle_alpha 90.00
_cell_angle_beta 90.00
_cell_angle_gamma 90.00
_space_group_name_H-M_alt 'P 4/m m m'
_space_group_IT_number 123
_space_group_name_Hall '-P 4 2'
loop_
_atom_site_label
_atom_site_fract_x
_atom_site_fract_y
_atom_site_fract_z
_atom_site_occupancy
Ce1 0.0000 0.0000 0.2086 1
Er1 0.5000 0.5000 0.0000 1
Pa1 0.5000 0.5000 0.5000 1
S1 0.0000 0.0000 0.5000 1
S2 0.0000 0.5000 0.0000 1
S3 0.5000 0.5000 0.2529 1
# E_form (uncorrected) in eV/atom: -1.3123
# Total moment in μB/cell: 5.5
# Crystal system: tetragonal

=====

(17)
# CeErScPa GGA-PBE relaxed
data_CeErScPa
_cell_length_a 7.5769
_cell_length_b 7.5769
_cell_length_c 7.5769
_cell_angle_alpha 90.00
_cell_angle_beta 90.00
_cell_angle_gamma 90.00
_space_group_name_H-M_alt 'F -4 3 m'
_space_group_IT_number 216
_space_group_name_Hall 'F -4 2 3'
loop_
_atom_site_label
_atom_site_fract_x
_atom_site_fract_y
_atom_site_fract_z
_atom_site_occupancy
Ce1 0.0000 0.0000 0.0000 1
Er1 0.2500 0.2500 0.2500 1
Sc1 0.0000 0.0000 0.5000 1
Pa1 0.2500 0.2500 0.7500 1
# E_form in meV per atom: 317.5
# Total moment in μB/cell: 9.4
# Crystal system: cubic

=====

(18)
# Ce2ErPaSe5 GGA-PBE relaxed
data_Ce2ErPaSe5
_cell_length_a 5.2206
_cell_length_b 5.2206
_cell_length_c 10.7168
_cell_angle_alpha 90.00
_cell_angle_beta 90.00
_cell_angle_gamma 90.00
_space_group_name_H-M_alt 'P 4/m m m'
_space_group_IT_number 123
_space_group_name_Hall '-P 4 2'
loop_
_atom_site_label
_atom_site_fract_x
_atom_site_fract_y
_atom_site_fract_z
_atom_site_occupancy
Ce1 0.0000 0.0000 0.1955 1
Er1 0.5000 0.5000 0.5000 1
Pa1 0.5000 0.5000 0.0000 1
Se1 0.0000 0.0000 0.5000 1
Se2 0.0000 0.5000 0.0000 1
Se3 0.5000 0.5000 0.2570 1
# E_form (uncorrected) in eV/atom: -1.0685
# Total moment in μB/cell: 4.8
# Crystal system: tetragonal

=====

(19)
# CeSmErPa GGA-PBE relaxed
data_CeSmErPa
_cell_length_a 7.8366
_cell_length_b 7.8366
_cell_length_c 7.8366
_cell_angle_alpha 90.00
_cell_angle_beta 90.00
_cell_angle_gamma 90.00
_space_group_name_H-M_alt 'F -4 3 m'
_space_group_IT_number 216
_space_group_name_Hall 'F -4 2 3'
loop_
_atom_site_label
_atom_site_fract_x
_atom_site_fract_y
_atom_site_fract_z
_atom_site_occupancy
Ce1 0.0000 0.0000 0.0000 1
Sm1 0.0000 0.0000 0.5000 1
Er1 0.2500 0.2500 0.2500 1
Pa1 0.2500 0.2500 0.7500 1
# E_form in meV per atom: 381.3
# Total moment in μB/cell: 17.3
# Crystal system: cubic

=====

(20)
# CeErPaSn GGA-PBE relaxed
data_CeErPaSn
_cell_length_a 7.5244
_cell_length_b 7.5244
_cell_length_c 7.5244
_cell_angle_alpha 90.00
_cell_angle_beta 90.00
_cell_angle_gamma 90.00
_space_group_name_H-M_alt 'F -4 3 m'
_space_group_IT_number 216
_space_group_name_Hall 'F -4 2 3'
loop_
_atom_site_label
_atom_site_fract_x
_atom_site_fract_y
_atom_site_fract_z
_atom_site_occupancy
Ce1 0.0000 0.0000 0.0000 1
Er1 0.0000 0.0000 0.5000 1
Pa1 0.2500 0.2500 0.2500 1
Sn1 0.2500 0.2500 0.7500 1
# E_form in meV per atom: -15.2
# Total moment in μB/cell: 9.9
# Crystal system: cubic